Record 1
Density functional theory data (PBE) for an optimized crystal structure of Er2Co5Ge4.

Geometry as POSCAR:
```
Er2Co5Ge4
1.0
5.3429 0.0000 0.0000
2.6715 4.5839 0.0000
2.6715 0.0000 6.9536
Er Co Ge
2 5 4
Cartesian
5.3429 0.0000 1.7762 Er
2.6715 0.0000 5.1774 Er
2.6715 0.0000 0.0000 Co
1.3357 2.2919 0.0000 Co
4.0072 2.2919 0.0000 Co
4.0072 2.2919 3.4768 Co
6.6786 2.2919 3.4768 Co
5.3429 1.4350 5.1381 Ge
5.3429 3.1488 1.8154 Ge
2.6715 1.4350 1.8154 Ge
8.0143 3.1488 5.1381 Ge
```

Final energy (eV/atom): -6.208
Fermi-level density of states (states/eV/f.u.): 6.146
Calculated formation energy (kJ/mol of atoms): -45.3

Record 2
Density functional theory data (PBE) for an optimized crystal structure of Dy3Pd3Pt5.

Geometry as POSCAR:
```
Dy3Pd3Pt5
1.0
4.0648 0.0000 0.0000
0.0000 7.1722 -4.1408
0.0000 0.0000 8.2817
Dy Pd Pt
3 3 5
Cartesian
0.0000 4.2563 -2.4574 Dy
0.0000 0.0000 4.9148 Dy
0.0000 2.9159 1.6835 Dy
2.0324 5.8322 -3.3672 Pd
2.0324 1.3400 0.7736 Pd
2.0324 0.0000 6.7345 Pd
2.0324 4.7814 0.0000 Pt
2.0324 2.3907 4.1409 Pt
2.0324 2.6288 -1.5177 Pt
2.0324 4.5434 2.6231 Pt
2.0324 0.0000 3.0355 Pt
```

Final energy (eV/atom): -6.003
Fermi-level density of states (states/eV/f.u.): 8.829
Calculated formation energy (kJ/mol of atoms): -56.5

Record 3
Density functional theory data (PBE) for an optimized crystal structure of TaFe2Tc.

Geometry as POSCAR:
```
TaFe2Tc
1.0
4.9854 0.0006 -0.0052
2.1929 4.4772 0.0052
-3.1525 -2.9389 2.5058
Fe Ta Tc
2 1 1
Cartesian
7.1472 4.4584 0.0000 Fe
2.7606 -0.3188 1.2503 Fe
3.5990 2.2451 0.0000 Ta
1.2864 1.8709 1.2555 Tc
```

Final energy (eV/atom): -9.805
Fermi-level density of states (states/eV/f.u.): 3.671
Calculated formation energy (kJ/mol of atoms): -1.8

Record 4
Density functional theory data (PBE) for an optimized crystal structure of CdAgBiAu.

Geometry as POSCAR:
```
CdAgBiAu
1.0
5.0181 0.0000 0.0000
2.5091 4.3458 0.0000
2.5091 1.4486 4.0973
Au Bi Ag Cd
1 1 1 1
Cartesian
5.0181 2.8972 2.0487 Au
2.5091 1.4486 1.0243 Bi
0.0000 0.0000 0.0000 Ag
7.5272 4.3458 3.0730 Cd
```

Final energy (eV/atom): -2.666
Fermi-level density of states (states/eV/f.u.): 1.594
Calculated formation energy (kJ/mol of atoms): 6.3

Record 5
Density functional theory data (PBE) for an optimized crystal structure of PmTiZn2.

Geometry as POSCAR:
```
PmTiZn2
1.0
-2.1957 -2.3485 -1.2068
0.6634 -2.6716 3.9920
-3.6688 2.3193 2.1619
Zn Ti Pm
2 1 1
Cartesian
-1.8344 1.1597 1.0809 Zn
0.3317 -1.3358 1.9960 Zn
-1.0979 -1.1742 -0.6034 Ti
-2.6006 -1.3503 2.4736 Pm
```

Final energy (eV/atom): -3.854
Fermi-level density of states (states/eV/f.u.): 3.009
Calculated formation energy (kJ/mol of atoms): -5.4

Record 6
Density functional theory data (PBE) for an optimized crystal structure of Tl5HgH4.

Geometry as POSCAR:
```
Tl5HgH4
1.0
-1.7336 -5.3348 -1.5583
4.5523 -3.6448 -3.4617
1.3296 -4.9167 4.4777
Tl Hg H
5 1 4
Cartesian
2.6009 -8.0477 1.1380 Tl
1.2144 -4.4361 1.1913 Tl
2.6519 -10.3281 -1.9872 Tl
1.2655 -6.7165 -1.9339 Tl
-0.7629 -2.3477 -0.6858 Tl
-1.6269 -5.0063 -1.4623 Hg
1.7077 -9.7713 0.0906 H
1.0799 -6.4567 0.3173 H
3.2541 -6.8682 -0.6927 H
2.6262 -3.5538 -0.4661 H
```

Final energy (eV/atom): -2.257
Fermi-level density of states (states/eV/f.u.): 2.234